(1)
DFT (GGA-PBE) results for a geometry-optimized Tb5Cd2Ga2 structure.

N(E_F) ... 0.639 states/eV/atom
Calculated total energy ... -3.84 eV per atom
DFT formation energy ... -0.3944 eV/atom

Cell lengths 16.5178, 7.6704, 7.6186 Å; angles 90.00, 90.00, 90.00 degrees
With the nearest neighbours (Å) after each atom.
Space group Cmce (No. 64)
Inequivalent atoms, fractional coordinates:
Tb 0.0000 0.0000 0.0000  4 Ga 3.04-3.07
Tb 0.1293 0.1858 0.3209  3 Ga 3.03-3.19, 3 Cd 3.15-3.21
Cd 0.2206 0.0000 0.0000  6 Tb 3.15-3.21
Ga 0.0000 0.1182 0.6188  1 Ga 2.56


(2)
DFT (GGA-PBE) results for a geometry-optimized TbDy4Pt4 structure.

N(E_F) ... 0.704 states/eV/atom
Calculated total energy ... -6.30 eV per atom
DFT formation energy ... -1.0529 eV/atom

Cell lengths 9.0185, 9.0185, 5.7383 Å; angles 90.00, 90.00, 90.00 degrees
With the nearest neighbours (Å) after each atom.
Space group P4_2/n (No. 86, origin choice 2)
Inequivalent atoms, fractional coordinates:
Tb 0.2500 0.2500 0.2500  4 Pt 2.84
Dy 0.0753 0.6541 0.1679  5 Pt 2.84-2.90
Pt 0.0354 0.6279 0.6673  1 Tb 2.84, 5 Dy 2.84-2.90, 1 Pt 3.07


(3)
DFT (GGA-PBE) results for a geometry-optimized Ho2P4Ru5 structure.

N(E_F) ... 0.598 states/eV/atom
Calculated total energy ... -7.79 eV per atom
DFT formation energy ... -0.7738 eV/atom

Cell lengths 5.5776, 9.6391, 13.4356 Å; angles 90.00, 90.00, 90.00 degrees
With the nearest neighbours (Å) after each atom.
Space group Fmmm (No. 69)
Inequivalent atoms, fractional coordinates:
Ho 0.0000 0.0000 0.1278  6 P 3.17-3.32, 10 Ru 3.23-3.27, 1 Ho 3.43
P 0.0000 0.1559 0.3687  5 Ru 2.30-2.42
Ru 0.0000 0.0000 0.5000  4 P 2.32
Ru 0.2500 0.2500 0.0000  4 P 2.42
Ru 0.2500 0.2500 0.2500  4 P 2.30


(4)
DFT (GGA-PBE) results for a geometry-optimized NaGeI3 structure.

ΔE to the lowest computed polymorph ... 0.1384 eV per atom
N(E_F) ... 0.000 states/eV/atom
Formation energy from raw total energies ... -2.65 eV/f.u.
Calculated total energy ... -2.65 eV per atom

Cell lengths 5.8844, 5.8844, 5.8844 Å; angles 90.00, 90.00, 90.00 degrees
With the nearest neighbours (Å) after each atom.
Space group Pm-3m (No. 221)
Inequivalent atoms, fractional coordinates:
Na 0.0000 0.0000 0.0000  12 I 4.16
Ge 0.5000 0.5000 0.5000  6 I 2.94
I 0.0000 0.5000 0.5000  2 Ge 2.94


(5)
DFT (GGA-PBE) results for a geometry-optimized CrSb structure.

N(E_F) ... 0.746 states/eV/atom
Formation energy from raw total energies ... 0.84 eV/f.u.
Calculated total energy ... -6.45 eV per atom

Cell lengths 3.0818, 3.0818, 30.8874 Å; angles 90.00, 90.00, 120.00 degrees
With the nearest neighbours (Å) after each atom.
Space group R-3m (No. 166, hexagonal axes)
Inequivalent atoms, fractional coordinates:
Cr 0.0000 0.0000 0.1412  3 Cr 2.37
Sb 0.0000 0.0000 0.4049  3 Cr 2.79, 6 Sb 3.08


(6)
DFT (GGA-PBE) results for a geometry-optimized AcSmZnGe structure.

N(E_F) ... 0.792 states/eV/atom
Calculated total energy ... -4.12 eV per atom
DFT formation energy ... -0.4387 eV/atom

Cell lengths 7.5418, 7.5418, 7.5418 Å; angles 90.00, 90.00, 90.00 degrees
With the nearest neighbours (Å) after each atom.
Space group F-43m (No. 216)
Inequivalent atoms, fractional coordinates:
Ac 0.0000 0.0000 0.0000  4 Ge 3.27, 4 Zn 3.27
Sm 0.0000 0.0000 0.5000  4 Ge 3.27, 4 Zn 3.27
Zn 0.2500 0.2500 0.7500  4 Ac 3.27, 4 Sm 3.27
Ge 0.2500 0.2500 0.2500  4 Ac 3.27, 4 Sm 3.27


(7)
DFT (GGA-PBE) results for a geometry-optimized Cs3Nd2SmS6 structure.

N(E_F) ... 0.000 states/eV/atom
Formation energy from raw total energies ... -21.75 eV/f.u.
Calculated total energy ... -5.28 eV per atom

Cell lengths 7.3340, 12.7036, 8.4590 Å; angles 90.00, 106.79, 90.00 degrees
With the nearest neighbours (Å) after each atom.
Space group C2/m (No. 12)
Inequivalent atoms, fractional coordinates:
Cs 0.0000 0.0000 0.0000  6 S 3.52-3.54
Cs 0.0000 0.3330 0.0000  6 S 3.52-3.54
Nd 0.0000 0.1666 0.5000  6 S 2.88
Sm 0.0000 0.5000 0.5000  6 S 2.85
S 0.2271 0.3349 0.6858  1 Sm 2.85, 2 Nd 2.88
S 0.2317 0.0000 0.6860  1 Sm 2.85, 2 Nd 2.88


(8)
DFT (GGA-PBE) results for a geometry-optimized Tc2HgRh structure.

N(E_F) ... 1.225 states/eV/atom
Calculated total energy ... -6.70 eV per atom
DFT formation energy ... 0.3950 eV/atom

Cell lengths 3.9759, 3.9759, 7.9428 Å; angles 90.00, 90.00, 90.00 degrees
With the nearest neighbours (Å) after each atom.
Space group I-4m2 (No. 119)
Inequivalent atoms, fractional coordinates:
Tc 0.0000 0.0000 0.0000  4 Hg 2.81, 4 Tc 2.81, 4 Rh 2.81
Tc 0.0000 0.5000 0.2500  4 Tc 2.81, 4 Rh 2.81, 4 Hg 2.81
Hg 0.0000 0.5000 0.7500  8 Tc 2.81, 4 Rh 2.81
Rh 0.0000 0.0000 0.5000  4 Hg 2.81, 8 Tc 2.81


(9)
DFT (GGA-PBE) results for a geometry-optimized CsK4H5 structure.

N(E_F) ... 0.000 states/eV/atom
Calculated total energy ... -2.39 eV per atom

Cell lengths 13.5630, 4.0762, 10.0761 Å; angles 90.00, 119.26, 90.00 degrees
With the nearest neighbours (Å) after each atom.
Space group C2/m (No. 12)
Inequivalent atoms, fractional coordinates:
Cs 0.0000 0.0000 0.0000  6 H 3.03-3.05
K 0.1009 0.5000 0.4076  6 H 2.74-2.94
K 0.1974 0.0000 0.7925  6 H 2.75-3.01
H 0.0000 0.0000 0.5000  6 K 2.85
H 0.1095 0.5000 0.8866  4 K 2.75-3.01, 2 Cs 3.05
H 0.2065 0.0000 0.3139  5 K 2.74-2.90, 1 Cs 3.03


(10)
DFT (GGA-PBE) results for a geometry-optimized Pm2Mn2BC2 structure.

N(E_F) ... 0.767 states/eV/atom
Calculated total energy ... -7.71 eV per atom
DFT formation energy ... -0.1461 eV/atom

Cell lengths 10.3165, 3.5968, 6.4389 Å; angles 90.00, 123.84, 90.00 degrees
With the nearest neighbours (Å) after each atom.
Space group C2/m (No. 12)
Inequivalent atoms, fractional coordinates:
Pm 0.0741 0.0000 0.3321  2 B 2.56, 1 C 2.69
Mn 0.2080 0.5000 0.0845  1 B 1.90, 3 C 1.95-1.96
B 0.0000 0.5000 0.0000  2 Mn 1.90
C 0.2140 0.5000 0.7863  3 Mn 1.95-1.96


(11)
DFT (GGA-PBE) results for a geometry-optimized HgSeF6 structure.

ΔE to the lowest computed polymorph ... 0.0000 eV per atom
N(E_F) ... 0.000 states/eV/atom
Formation energy from raw total energies ... -12.45 eV/f.u.
Calculated total energy ... -3.43 eV per atom

Cell lengths 5.3933, 5.3933, 10.1745 Å; angles 90.00, 90.00, 120.00 degrees
With the nearest neighbours (Å) after each atom.
Space group P-31c (No. 163)
Inequivalent atoms, fractional coordinates:
Hg 0.3333 0.6667 0.2500  6 F 2.35
Se 0.0000 0.0000 0.0000  6 F 1.96
F 0.0078 0.2992 0.1119  1 Se 1.96